This record from Alexandria via LeMat-Bulk describes an optimized crystal structure of CsNa3F. The functional is GGA-PBE.

Properties
Uncorrected energy   -5.88 eV per cell
Formation energy from raw total energies   160 meV/atom
Energy above the lowest structure with this stoichiometry   871.8 meV per atom
N(E_F)   2.106 states/eV/atom

Lattice parameters (Å, degrees): 7.424 7.424 7.424 90.00 90.00 90.00
Positions (direct):
1 Cs 0.000 0.000 0.000
2 Na 0.000 0.000 0.500
3 Na 0.000 0.500 0.000
4 Na 0.500 0.000 0.000
5 F 0.500 0.500 0.500